<P>
AcW PBE relaxed; magnetization = 0.7877 μB per atom; SG = F-43m (216)
1.0
-1.157 -2.956 -3.518
-3.954 0.733 -2.506
0.283 1.449 -4.502
Ac W
1 1
Cartesian
0.000 0.000 0.000
-1.207 -0.193 -2.631

<Q>
AcW PBE relaxed; magnetization = 0.3358 μB per atom; SG = P-6m2 (187)
1.0
-3.128 0.278 -1.040
0.993 -2.756 1.537
-1.371 2.122 4.692
W Ac
1 1
Cartesian
-0.723 -1.214 1.851
-2.783 0.858 3.338

<R>
AcW PBE relaxed; magnetization = 1.0121 μB per atom; SG = Fm-3m (225)
1.0
3.968 -1.916 0.083
2.437 0.139 3.668
0.629 -3.663 2.368
Ac W
1 1
Cartesian
0.000 0.000 0.000
3.517 -2.719 3.060

Computed stability ranking, most favorable first: <Q>, <R>, <P>